# 1
Cu2RhCl, single point on PBEsol structure, DFT meta-GGA SCAN; symmetry = Cmmm, No. 65; offset from the most stable computed form = 237 meV per atom; DOS at the Fermi energy = 2.18 states/eV per cell; E_form (uncorrected) = 0.368 eV per atom; magnetic moment = 0.00 μB/f.u.
1.0
2.823 0.000 0.000
0.000 4.565 0.012
0.000 -1.897 4.152
Cl Cu Rh
1 2 1
Direct
0.500 0.500 0.500 Cl
0.000 0.500 0.000 Cu
0.000 0.000 0.500 Cu
0.500 0.000 0.000 Rh



# 2
Cu2RhCl, single point on PBEsol structure, DFT meta-GGA SCAN; symmetry = Cm, No. 8; offset from the most stable computed form = 27 meV per atom; DOS at the Fermi energy = 1.75 states/eV per cell; E_form (uncorrected) = 0.158 eV per atom; magnetic moment = 0.00 μB/f.u.
1.0
2.862 0.000 0.000
-1.431 3.969 0.008
0.000 -0.922 5.773
Cl Cu Rh
1 2 1
Direct
0.863 0.725 0.263 Cl
0.955 0.910 0.924 Cu
0.212 0.424 0.747 Cu
0.470 0.941 0.566 Rh



# 3
CuRuS2Cl, single point on PBEsol structure, DFT meta-GGA SCAN; symmetry = P4/mmm, No. 123; DOS at the Fermi energy = 3.84 states/eV per cell; E_form (uncorrected) = 0.456 eV per atom; magnetic moment = 0.00 μB/f.u.
1.0
-4.035 0.706 -1.721
-1.094 -4.225 0.832
-1.666 1.306 4.440
Ru S Cu Cl
1 2 1 1
Direct
0.000 0.000 0.000 Ru
0.000 0.500 0.000 S
0.500 0.000 0.000 S
0.500 0.500 0.500 Cu
0.000 0.000 0.500 Cl